Record 1
24
Lattice="8.8818 0.0000 5.1279 2.9606 8.3738 5.1279 0.0000 0.0000 10.2558" Properties=species:S:1:pos:R:3 comment="Pr4GaSb, relaxed, DFT PBE" de_polymorph_ev_per_fu=0.19 space_group="F-43m (216)" m_tot_mub_per_cell=0.00 raw_formation_energy_ev_per_atom=-0.54 pbc="T T T"
Pr 4.3589 3.0822 7.5498
Pr 9.0458 3.0822 10.2558
Pr 5.9212 7.5011 10.2558
Pr 4.3589 3.0822 12.9618
Pr 6.6171 4.6790 15.3837
Pr 11.1465 7.8818 15.3837
Pr 7.7494 7.8818 13.4224
Pr 10.0142 4.6790 17.3450
Pr 10.0142 4.6790 13.4224
Pr 7.7494 7.8818 17.3450
Pr 2.3035 1.6288 10.2558
Pr 9.5389 6.7450 10.2558
Pr 4.1123 6.7450 7.1228
Pr 7.7301 1.6288 13.3889
Pr 7.7301 1.6288 7.1228
Pr 4.1123 6.7450 13.3889
Ga 1.7549 1.2409 3.0396
Ga 5.3719 1.2409 5.1279
Ga 2.9606 4.6511 5.1279
Ga 1.7549 1.2409 7.2162
Sb 7.0662 4.9965 12.2389
Sb 3.6313 4.9965 10.2558
Sb 5.9212 1.7581 10.2558
Sb 7.0662 4.9965 8.2727

Record 2
20
Lattice="-0.4247 0.2104 -7.7422 -3.1554 -7.6632 -0.0352 -9.1797 3.7789 0.2029" Properties=species:S:1:pos:R:3 comment="Pr6Ga3Sb, relaxed, DFT PBE" space_group="P2_1/c (14)" m_tot_mub_per_cell=0.00 raw_formation_energy_ev_per_atom=-0.42 pbc="T T T"
Pr -9.3597 2.3197 -4.9321
Pr -6.0919 1.0126 -5.0663
Pr -3.7721 -2.0292 -5.5023
Pr -8.9876 -1.6447 -2.0722
Pr -6.6678 -4.6865 -2.5083
Pr -3.4001 -5.9936 -2.6424
Pr -5.0389 -0.8442 -1.1678
Pr -1.7978 -2.2160 -1.3022
Pr -7.1870 2.0927 -1.5191
Pr -5.5727 -5.7666 -6.0555
Pr -10.9619 -1.4579 -6.2723
Pr -7.7208 -2.8297 -6.4067
Ga -9.9676 -3.7711 -4.0934
Ga -1.7900 -3.7264 -3.8887
Ga -2.7921 0.0972 -3.4811
Ga -4.3401 -3.7612 -0.3146
Ga -4.5898 1.8894 0.1014
Ga -8.4197 0.0873 -7.2600
Sb -6.3799 -1.8369 -3.7873
Sb 0.0000 0.0000 0.0000

Record 3
16
Lattice="-8.4202 1.9862 -2.6759 -1.3165 -8.6798 -2.3001 2.6977 2.0922 8.3873" Properties=species:S:1:pos:R:3 comment="Pr8GaSb3Te4, relaxed, DFT PBE" space_group="R-3m (166)" m_tot_mub_per_cell=0.00 raw_formation_energy_ev_per_atom=-1.28 pbc="T T T"
Pr -0.3103 -3.8290 6.0121
Pr -1.6974 -4.9048 1.7007
Pr -1.1079 -0.6918 2.9729
Pr -4.6392 -2.8079 4.6365
Pr -2.3998 -1.7935 -1.2252
Pr -5.9311 -3.9096 0.4384
Pr -5.3416 0.3033 1.7106
Pr -6.7287 -0.7724 -2.6009
Ga -0.6582 -4.3399 -1.1501
Sb -4.8683 -3.3468 -2.4880
Sb -3.5195 -2.3007 1.7056
Sb 0.6906 -3.2938 3.0436
Te -4.2101 0.9931 -1.3379
Te -2.8613 2.0392 2.8557
Te 0.0000 0.0000 0.0000
Te 1.3488 1.0461 4.1936

Record 4
14
Lattice="7.2600 0.8493 0.3143 -2.4740 6.8782 0.3143 -0.3757 -0.6066 7.4014" Properties=species:S:1:pos:R:3 comment="Pr3ScGa3, relaxed, DFT PBE" ef_mev_per_atom=-337 space_group="C2/m (12)" m_tot_mub_per_cell=0.00 pbc="T T T"
Pr 2.9656 4.7881 2.9075
Pr -1.2379 5.6929 4.0150
Pr 5.6482 1.4280 4.0150
Pr -0.0156 5.3555 0.3143
Pr 4.8016 2.3720 0.3143
Pr 1.4448 2.3327 5.1226
Sc 3.2259 5.2085 6.7569
Sc 1.1845 1.9124 1.2731
Ga 4.4174 7.1322 1.7160
Ga 5.2614 3.9322 5.5017
Ga 1.1764 6.4623 5.5017
Ga -0.8511 3.1887 2.5283
Ga 3.2339 0.6586 2.5283
Ga -0.0070 -0.0114 6.3140

Record 5
4
Lattice="-0.4682 -3.1487 -1.6692 2.8210 -2.1359 -0.6323 -0.4430 -5.6624 6.9354" Properties=species:S:1:pos:R:3 comment="PrScGa2, relaxed, DFT PBE" de_polymorph_ev_per_fu=0.93 ef_mev_per_atom=-340 space_group="R-3m (166)" m_tot_mub_per_cell=0.00 pbc="T T T"
Pr 0.9549 -5.4735 2.3170
Sc 0.0000 0.0000 0.0000
Ga 1.4056 -8.2951 3.6430
Ga 0.5041 -2.6519 0.9910

Record 6
4
Lattice="-1.5831 -2.6530 -1.3692 2.1282 0.0841 -2.6236 5.2799 -5.2737 4.1140" Properties=species:S:1:pos:R:3 comment="PrSc2Ga, relaxed, DFT PBE" de_polymorph_ev_per_fu=0.00 ef_mev_per_atom=-284 space_group="P4/mmm (123)" m_tot_mub_per_cell=0.00 pbc="T T T"
Pr 2.9125 -3.9213 0.0606
Sc 4.2300 -4.2250 3.2959
Sc 1.0499 -1.0487 0.8181
Ga 0.2726 -1.2845 -1.9964

Record 7
18
Lattice="-5.9301 -0.7136 4.4743 6.3539 -0.8024 4.2947 0.0739 7.5830 1.3074" Properties=species:S:1:pos:R:3 comment="Pr2Sc3Ga4, relaxed, DFT PBE" de_polymorph_ev_per_fu=0.00 ef_mev_per_atom=-594 space_group="P2_1/c (14)" m_tot_mub_per_cell=0.00 pbc="T T T"
Pr -2.1528 1.9056 3.8123
Pr -0.3034 4.9497 8.6988
Pr 2.6505 4.1613 6.2642
Pr 0.8011 1.1173 1.3777
Sc 3.2139 3.3903 2.8011
Sc 0.2119 -0.7580 4.3845
Sc -2.7968 5.5291 5.5036
Sc 0.3407 1.3344 7.0089
Sc 3.2945 0.5379 4.5728
Sc 0.1570 4.7325 3.0676
Ga -4.6007 3.3917 4.9465
Ga 2.1021 -0.8998 6.8123
Ga 5.0985 2.6752 5.1300
Ga -1.6043 6.9668 3.2642
Ga -1.9941 -0.1066 6.2055
Ga -0.4923 3.8583 5.7705
Ga 2.4919 6.1736 3.8710
Ga 0.9900 2.2086 4.3060

Record 8
12
Lattice="-3.7267 1.8255 1.6902 -1.8119 -1.3656 -8.4596 -0.6077 -6.6510 5.8437" Properties=species:S:1:pos:R:3 comment="PrSc3Ga2, relaxed, DFT PBE" de_polymorph_ev_per_fu=0.30 ef_mev_per_atom=-376 space_group="C2/m (12)" m_tot_mub_per_cell=0.00 pbc="T T T"
Pr -5.1187 -5.2251 0.2965
Pr -1.0276 -0.9661 -1.2223
Sc -2.7463 -3.7752 -1.9779
Sc -5.9332 -3.9739 -2.8510
Sc -3.6178 -4.9430 3.3012
Sc -2.5284 -1.2481 -4.2270
Sc -0.2130 -2.2173 1.9252
Sc -3.3999 -2.4159 1.0522
Ga -4.1902 -6.1324 -2.6157
Ga -1.9561 -0.0588 1.6899
Ga -4.2634 -1.3672 -1.9845
Ga -1.8828 -4.8240 1.0587